Computed, not measured: a geometry-optimized Co2As structure at the GGA-PBE level of DFT.

## Properties
E ... -0.2188 Ha/atom
Crystal system ... cubic
Spin magnetization ... 1.0074 μB per atom
Space group ... Fd-3m (227)
Calculated volume ... 13.03 Å³/atom

a = 4.7991 Å, b = 4.7991 Å, c = 4.7991 Å
α = 60.00°, β = 60.00°, γ = 60.00°
Last column: nearest neighbours and their distance in Å.
Positions (direct):
Co  0.1250  0.6250  0.6250  6 Co 2.40
Co  0.6250  0.6250  0.6250  6 Co 2.40
Co  0.6250  0.1250  0.6250  6 Co 2.40
Co  0.6250  0.6250  0.1250  6 Co 2.40
As  0.2500  0.2500  0.2500  12 Co 2.81, 4 As 2.94
As  0.0000  0.0000  0.0000  12 Co 2.81, 4 As 2.94